Version one
Entry from OQMD: a relaxed structure of Y4TlFeN2 (GGA-PBE).

The structure in POSCAR format:
```
Y4TlFeN2
1.0
3.4966 0.0000 0.0000
-1.7483 3.0282 0.0000
0.0000 0.0000 14.8182
Y Tl Fe N
4 1 1 2
direct
0.0000 0.0000 0.1329 Y
0.0000 0.0000 0.8671 Y
0.6667 0.3333 0.3200 Y
0.6667 0.3333 0.6800 Y
0.0000 0.0000 0.5000 Tl
0.6667 0.3333 0.0000 Fe
0.3333 0.6667 0.2379 N
0.3333 0.6667 0.7621 N
```

Version two
Entry from OQMD: a relaxed structure of Y4TlFeN2 (GGA-PBE).

The structure in POSCAR format:
```
Y4TlFeN2
1.0
3.5045 0.0000 0.0000
-1.7522 3.0349 0.0000
0.0000 0.0000 14.9475
Y Tl Fe N
4 1 1 2
direct
0.0000 0.0000 0.1374 Y
0.0000 0.0000 0.8626 Y
0.3333 0.6667 0.3206 Y
0.3333 0.6667 0.6794 Y
0.0000 0.0000 0.5000 Tl
0.3333 0.6667 0.0000 Fe
0.6667 0.3333 0.2386 N
0.6667 0.3333 0.7614 N
```

The structure shown above that is least stable: version one.